FeSe3: relaxed, PBE-GGA.

Cell lengths 5.334, 5.334, 5.334 Å; angles 90.00, 90.00, 90.00 degrees
Space group Pm-3n (No. 223)
Inequivalent atoms, fractional coordinates:
Fe 0.000 0.000 0.000
Se 0.000 0.250 0.500

Summary:
Energy relative to the elements, uncorrected (eV per formula unit): 2.27
Electronic total energy (eV per atom): -4.16

=====

SmGd2Dy: relaxed, PBE-GGA.

Cell lengths 3.5815, 3.5815, 35.1080 Å; angles 90.00, 90.00, 120.00 degrees
Space group R-3m (No. 166, hexagonal axes)
Inequivalent atoms, fractional coordinates:
Sm 0.0000 0.0000 0.0000
Gd 0.0000 0.0000 0.2492
Dy 0.0000 0.0000 0.5000

Summary:
Relative energy among the computed polymorphs (eV per atom): 0.0005
Formation enthalpy at 0 K (eV per atom): 0.02
Electronic total energy (eV per atom): -9.35

=====

BaBiAu2: relaxed, PBE-GGA.

Cell lengths 3.930, 7.419, 8.700 Å; angles 90.00, 90.00, 90.00 degrees
Space group Amm2 (No. 38)
Inequivalent atoms, fractional coordinates:
Ba 0.000 0.000 0.000
Bi 0.500 0.000 0.604
Au 0.500 0.185 0.289

Summary:
Formation enthalpy at 0 K (eV per atom): -0.43
Electronic total energy (eV per atom): -3.52

=====

Tb6Ho3TmTh2: relaxed, PBE-GGA.

Cell lengths 6.149, 10.642, 11.782 Å; angles 90.00, 100.03, 90.00 degrees
Space group C2/m (No. 12)
Inequivalent atoms, fractional coordinates:
Tb 0.247 0.000 0.249
Tb 0.249 0.168 0.752
Ho 0.000 0.000 0.500
Ho 0.000 0.333 0.500
Tm 0.000 0.500 0.000
Th 0.000 0.167 0.000

Summary:
Formation enthalpy at 0 K (eV per atom): 0.02
Electronic total energy (eV per atom): -5.04

=====

Ta3W: relaxed, PBE-GGA.

Cell lengths 2.8593, 2.8593, 10.2274 Å; angles 90.00, 90.00, 120.00 degrees
Space group P-6m2 (No. 187)
Inequivalent atoms, fractional coordinates:
Ta 0.0000 0.0000 0.0000
Ta 0.6667 0.3333 0.2536
W 0.0000 0.0000 0.5000

Summary:
Formation enthalpy at 0 K (eV per atom): 0.35
Electronic total energy (eV per atom): -11.78

=====

RuRhW2: relaxed, PBE-GGA.

Cell lengths 2.7755, 2.7755, 27.2130 Å; angles 90.00, 90.00, 120.00 degrees
Space group R-3m (No. 166, hexagonal axes)
Inequivalent atoms, fractional coordinates:
Ru 0.0000 0.0000 0.0000
Rh 0.0000 0.0000 0.5000
W 0.0000 0.0000 0.2498

Summary:
Relative energy among the computed polymorphs (eV per atom): 0.1439
Formation enthalpy at 0 K (eV per atom): 0.06
Electronic total energy (eV per atom): -10.57

=====

GdGaNiRh: relaxed, PBE-GGA.

Cell lengths 6.452, 6.452, 6.452 Å; angles 90.00, 90.00, 90.00 degrees
Space group F-43m (No. 216)
Inequivalent atoms, fractional coordinates:
Gd 0.000 0.000 0.000
Ga 0.000 0.000 0.500
Ni 0.250 0.250 0.250
Rh 0.250 0.250 0.750

Summary:
Formation enthalpy at 0 K (eV per atom): -0.52
Electronic total energy (eV per atom): -8.08

=====

AcPm6Nd2Ho: relaxed, PBE-GGA.

Cell lengths 9.355, 15.638, 9.802 Å; angles 90.00, 95.96, 90.00 degrees
Space group C2/c (No. 15)
Inequivalent atoms, fractional coordinates:
Ac 0.000 0.023 0.250
Pm 0.060 0.191 0.945
Pm 0.104 0.394 0.117
Pm 0.211 0.226 0.312
Nd 0.243 0.442 0.454
Ho 0.000 0.411 0.750

Summary:
Formation enthalpy at 0 K (eV per atom): 0.12
Electronic total energy (eV per atom): -4.55

=====

TbGa2CuPt4: relaxed, PBE-GGA.

Cell lengths 4.3208, 4.3208, 25.2250 Å; angles 90.00, 90.00, 120.00 degrees
Space group R-3m (No. 166, hexagonal axes)
Inequivalent atoms, fractional coordinates:
Tb 0.0000 0.0000 0.0000
Ga 0.0000 0.0000 0.2413
Cu 0.0000 0.0000 0.5000
Pt 0.0000 0.0000 0.1307
Pt 0.0000 0.0000 0.4003

Summary:
Formation enthalpy at 0 K (eV per atom): -0.71
Electronic total energy (eV per atom): -5.58

=====

Pr2Cu4Ni3: relaxed, PBE-GGA.

Cell lengths 5.010, 8.919, 12.812 Å; angles 90.00, 90.00, 90.00 degrees
Space group Fmmm (No. 69)
Inequivalent atoms, fractional coordinates:
Pr 0.000 0.000 0.132
Cu 0.000 0.174 0.335
Ni 0.000 0.000 0.500
Ni 0.250 0.250 0.000

Summary:
Formation enthalpy at 0 K (eV per atom): -0.20
Electronic total energy (eV per atom): -5.01

=====

LiSm4Ho3Te8: relaxed, PBE-GGA.

Cell lengths 8.7313, 8.7313, 21.6063 Å; angles 90.00, 90.00, 120.00 degrees
Space group R-3m (No. 166, hexagonal axes)
Inequivalent atoms, fractional coordinates:
Li 0.0000 0.0000 0.0000
Sm 0.0000 0.0000 0.5000
Sm 0.0000 0.5000 0.5000
Ho 0.0000 0.5000 0.0000
Te 0.0000 0.0000 0.2530
Te 0.0066 0.5033 0.7454

Summary:
Energy relative to the elements, uncorrected (eV per formula unit): -21.29
Electronic total energy (eV per atom): -5.06

=====

GaAg6Sn: relaxed, PBE-GGA.

Cell lengths 4.329, 4.329, 7.912 Å; angles 90.00, 90.00, 90.00 degrees
Space group P4/mmm (No. 123)
Inequivalent atoms, fractional coordinates:
Ga 0.000 0.000 0.000
Ag 0.000 0.500 0.239
Ag 0.500 0.500 0.000
Ag 0.500 0.500 0.500
Sn 0.000 0.000 0.500

Summary:
Formation enthalpy at 0 K (eV per atom): 0.02
Electronic total energy (eV per atom): -3.00

=====

YPbSe2: relaxed, PBE-GGA.

Cell lengths 15.187, 3.852, 4.007 Å; angles 90.00, 105.22, 90.00 degrees
Space group Cm (No. 8)
Inequivalent atoms, fractional coordinates:
Y 0.000 0.000 0.000
Pb 0.273 0.500 0.275
Se 0.066 0.500 0.566
Se 0.351 0.000 0.853

Summary:
Energy relative to the elements, uncorrected (eV per formula unit): -4.48
Electronic total energy (eV per atom): -5.41

=====

Zr2FeSb: relaxed, PBE-GGA.

Cell lengths 7.470, 7.470, 5.872 Å; angles 90.00, 90.00, 90.00 degrees
Space group I-42d (No. 122)
Inequivalent atoms, fractional coordinates:
Zr 0.191 0.750 0.125
Fe 0.000 0.000 0.000
Sb 0.000 0.000 0.500

Summary:
Energy relative to the elements, uncorrected (eV per formula unit): -0.06
Electronic total energy (eV per atom): -7.43

=====

MgMn2Cu: relaxed, PBE-GGA.

Cell lengths 6.090, 6.090, 6.090 Å; angles 90.00, 90.00, 90.00 degrees
Space group F-43m (No. 216)
Inequivalent atoms, fractional coordinates:
Mg 0.000 0.000 0.000
Mn 0.000 0.000 0.500
Mn 0.250 0.250 0.750
Cu 0.250 0.250 0.250

Summary:
Formation enthalpy at 0 K (eV per atom): 0.16
Electronic total energy (eV per atom): -5.84

=====

HfMo4C2: relaxed, PBE-GGA.

Cell lengths 4.742, 4.742, 10.510 Å; angles 90.00, 90.00, 90.00 degrees
Space group I4/mmm (No. 139)
Inequivalent atoms, fractional coordinates:
Hf 0.000 0.000 0.000
Mo 0.000 0.000 0.256
Mo 0.000 0.500 0.000
C 0.000 0.000 0.436

Summary:
Formation enthalpy at 0 K (eV per atom): 1.64
Electronic total energy (eV per atom): -8.60

=====

Np2C3N6: relaxed, PBE-GGA.

Cell lengths 14.480, 3.888, 5.333 Å; angles 90.00, 96.71, 90.00 degrees
Space group C2/m (No. 12)
Inequivalent atoms, fractional coordinates:
Np 0.135 0.000 0.071
C 0.000 0.000 0.500
C 0.171 0.500 0.589
N 0.011 0.000 0.733
N 0.158 0.500 0.359
N 0.187 0.500 0.826

Summary:
Energy relative to the elements, uncorrected (eV per formula unit): -4.25
Electronic total energy (eV per atom): -9.80

=====

Pm5U2O12: relaxed, PBE-GGA.

Cell lengths 12.889, 6.250, 7.908 Å; angles 90.00, 107.93, 90.00 degrees
Space group C2/m (No. 12)
Inequivalent atoms, fractional coordinates:
Pm 0.000 0.000 0.000
Pm 0.192 0.500 0.319
Pm 0.201 0.500 0.865
U 0.000 0.227 0.500
O 0.002 0.500 0.319
O 0.003 0.000 0.289
O 0.156 0.254 0.073
O 0.170 0.267 0.591

Summary:
Energy relative to the elements, uncorrected (eV per formula unit): -62.83
Electronic total energy (eV per atom): -8.88

=====

TmV4Si4: relaxed, PBE-GGA.

Cell lengths 8.040, 8.040, 4.673 Å; angles 90.00, 90.00, 90.00 degrees
Space group P4_2/n (No. 86, origin choice 2)
Inequivalent atoms, fractional coordinates:
Tm 0.250 0.250 0.250
V 0.127 0.865 0.649
Si 0.054 0.911 0.163

Summary:
Energy relative to the elements, uncorrected (eV per formula unit): -2.54
Electronic total energy (eV per atom): -7.24

=====

Pm4Dy2ErTm2: relaxed, PBE-GGA.

Cell lengths 15.185, 5.051, 7.986 Å; angles 90.00, 108.46, 90.00 degrees
Space group C2/m (No. 12)
Inequivalent atoms, fractional coordinates:
Pm 0.054 0.000 0.331
Pm 0.222 0.500 0.331
Dy 0.111 0.500 0.670
Er 0.000 0.500 0.000
Tm 0.167 0.000 0.000

Summary:
Formation enthalpy at 0 K (eV per atom): 0.03
Electronic total energy (eV per atom): -4.61